A plane-wave DFT calculation with PBE was carried out for Ce2TaSi4Ir3 after structural relaxation.

Results
Its total DFT energy (no corrections) is -80.86 eV per formula unit. As for the formation energy without anion corrections: -0.887 eV/atom.

a b c (Å): 4.139 4.139 10.414
angles (deg): 90.00 90.00 90.00
Space group P-4m2 (No. 115)
Asymmetric unit:
1 Ce 0.000 0.500 0.237 [2 per cell]
2 Ta 0.000 0.000 0.500 [1 per cell]
3 Si 0.000 0.000 0.000 [1 per cell]
4 Si 0.000 0.500 0.647 [2 per cell]
5 Si 0.500 0.500 0.000 [1 per cell]
6 Ir 0.000 0.500 0.878 [2 per cell]
7 Ir 0.500 0.500 0.500 [1 per cell]

---

A plane-wave DFT calculation with PBE was carried out for Tb2Ce2Si4Ir after structural relaxation.

Results
Its total DFT energy (no corrections) is -55.33 eV per formula unit. As for the formation energy without anion corrections: -0.405 eV/atom.

a b c (Å): 7.075 7.075 8.103
angles (deg): 90.00 90.00 90.00
Space group I4/mmm (No. 139)
Asymmetric unit:
1 Tb 0.000 0.500 0.250 [4 per cell]
2 Ce 0.000 0.000 0.169 [4 per cell]
3 Si 0.241 0.241 0.500 [8 per cell]
4 Ir 0.000 0.000 0.500 [2 per cell]